A geometry-optimized KBe2WF8 structure. Source: Alexandria, functional GGA+U.

Lattice parameters (Å, degrees): 4.963 4.963 8.372 72.76 72.76 60.00
Last column: magnetic moment on the atom in μB.
Element x y z (fractional)
K (0.500, 0.500, 0.500)  0.00
Be (0.254, 0.254, 0.239)  0.00
Be (0.746, 0.746, 0.761)  0.00
W (0.000, 0.000, 0.000)  2.83
F (0.191, 0.191, 0.428)  0.00
F (0.585, 0.262, 0.163)  0.02
F (0.809, 0.809, 0.572)  0.00
F (0.991, 0.585, 0.163)  0.02
F (0.009, 0.415, 0.837)  0.02
F (0.262, 0.991, 0.163)  0.02
F (0.738, 0.009, 0.837)  0.02
F (0.415, 0.738, 0.837)  0.02

Computed properties:
Its total energy is -5.5459 eV per atom. Its space group is R-3 (148). The magnetization comes out at 3.0 μB per cell. The value obtained for the mass density is 3.9 g cm⁻³.